Entry from Alexandria: a relaxed BaNdEu4 crystal (PBE).

Unit cell a=7.249 b=7.249 c=7.249 alpha=60.00 beta=60.00 gamma=60.00
Fractional coordinates of all 6 atoms:
Ba1 0.000 0.000 0.000
Nd1 0.750 0.750 0.750
Eu1 0.377 0.377 0.377
Eu2 0.377 0.377 0.868
Eu3 0.377 0.868 0.377
Eu4 0.868 0.377 0.377

Results
Mass density: 5484 kg/m³
E_tot: -7.776 eV/atom
M_tot: 30.98 μB/cell